Entry i
SrLaNi3 | GGA-PBE | relaxed

Geometry as POSCAR:
```
SrLaNi3
1.0
4.947 0.000 0.000
0.000 4.947 0.000
0.000 0.000 4.947
Sr Ni La
1 3 1
Direct
0.000 0.000 0.000
0.000 0.000 0.500
0.500 0.000 0.000
0.000 0.500 0.000
0.500 0.500 0.500
```

Entry ii
SrLaNi3 | GGA-PBE | relaxed

Geometry as POSCAR:
```
SrLaNi3
1.0
5.013 0.000 0.000
0.000 5.013 0.000
0.000 0.000 5.013
Sr Ni La
1 3 1
Direct
0.500 0.500 0.500
0.000 0.500 0.000
0.000 0.000 0.500
0.500 0.000 0.000
0.000 0.000 0.000
```

entry ii is favored, and the nearest alternative lies 347 meV/atom above it.

Entry i
SrLaNi | GGA-PBE | relaxed

Geometry as POSCAR:
```
SrLaNi
1.0
4.202 0.000 0.000
0.000 3.920 -0.663
0.000 -0.003 11.910
Ni Sr La
2 2 2
Direct
0.250 0.465 0.930
0.750 0.535 0.070
0.750 0.683 0.365
0.250 0.317 0.635
0.250 0.062 0.124
0.750 0.938 0.876
```

Entry ii
SrLaNi | GGA-PBE | relaxed

Geometry as POSCAR:
```
SrLaNi
1.0
7.355 -0.002 0.000
5.552 4.823 0.000
-6.454 -2.410 2.576
Ni La Sr
1 1 1
Direct
0.349 0.349 0.000
0.951 0.951 0.000
0.701 0.701 0.000
```

Entry iii
SrLaNi | GGA-PBE | relaxed

Geometry as POSCAR:
```
SrLaNi
1.0
4.159 0.000 0.000
-2.079 3.601 0.000
0.000 0.000 7.042
La Sr Ni
1 1 1
Direct
0.000 0.000 0.115
0.333 0.667 0.576
0.667 0.333 0.308
```

entry i is favored, and the nearest alternative lies 109 meV/atom above it.

Entry i
Sr2LaNi | GGA-PBE | relaxed

Geometry as POSCAR:
```
Sr2LaNi
1.0
10.790 0.009 0.005
10.042 3.947 0.005
10.042 1.907 3.456
La Ni Sr
1 1 2
Direct
0.250 0.250 0.250
0.750 0.750 0.750
0.027 0.027 0.027
0.473 0.473 0.473
```

Entry ii
Sr2LaNi | GGA-PBE | relaxed

Geometry as POSCAR:
```
Sr2LaNi
1.0
3.705 0.000 0.000
0.000 3.706 0.000
0.000 0.000 9.875
La Ni Sr
1 1 2
Direct
0.500 0.500 0.250
0.500 0.500 0.750
0.000 0.000 0.929
0.000 0.000 0.571
```

entry ii is favored, and the nearest alternative lies 30 meV/atom above it.